1.
The following is a DFT calculation (PBE-GGA) of LuMgZnPb after structural relaxation.

Lattice parameters (Å, degrees): 5.0864 5.0864 5.0864 60.00 60.00 60.00
Fractional coordinates of all 4 atoms:
Pb: 0.0000 0.0000 0.0000
Zn: 0.5000 0.5000 0.5000
Mg: 0.2500 0.2500 0.2500
Lu: 0.7500 0.7500 0.7500

Properties
- symmetry = No. 216

=====

2.
The following is a DFT calculation (PBE-GGA) of PmLuMgPd after structural relaxation.

Lattice parameters (Å, degrees): 5.1479 5.1479 5.1479 60.00 60.00 60.00
Fractional coordinates of all 4 atoms:
Lu: 0.7500 0.7500 0.7500
Mg: 0.5000 0.5000 0.5000
Pd: 0.0000 0.0000 0.0000
Pm: 0.2500 0.2500 0.2500

Properties
- symmetry = No. 216

=====

3.
The following is a DFT calculation (PBE-GGA) of LuMgPdPt after structural relaxation.

Lattice parameters (Å, degrees): 4.6959 4.6959 4.6959 60.00 60.00 60.00
Fractional coordinates of all 4 atoms:
Lu: 0.0000 0.0000 0.0000
Pt: 0.7500 0.7500 0.7500
Pd: 0.2500 0.2500 0.2500
Mg: 0.5000 0.5000 0.5000

Properties
- symmetry = No. 216

=====

4.
The following is a DFT calculation (PBE-GGA) of LuMgPdRh after structural relaxation.

Lattice parameters (Å, degrees): 4.6384 4.6384 4.6384 60.00 60.00 60.00
Fractional coordinates of all 4 atoms:
Rh: 0.5000 0.5000 0.5000
Mg: 0.7500 0.7500 0.7500
Pd: 0.0000 0.0000 0.0000
Lu: 0.2500 0.2500 0.2500

Properties
- symmetry = No. 216

=====

5.
The following is a DFT calculation (PBE-GGA) of LuMgPdRu after structural relaxation.

Lattice parameters (Å, degrees): 4.6203 4.6203 4.6203 60.00 60.00 60.00
Fractional coordinates of all 4 atoms:
Pd: 0.2500 0.2500 0.2500
Mg: 0.0000 0.0000 0.0000
Ru: 0.7500 0.7500 0.7500
Lu: 0.5000 0.5000 0.5000

Properties
- symmetry = No. 216

=====

6.
The following is a DFT calculation (PBE-GGA) of LuMgScPd after structural relaxation.

Lattice parameters (Å, degrees): 4.9371 4.9371 4.9371 60.00 60.00 60.00
Fractional coordinates of all 4 atoms:
Mg: 0.2500 0.2500 0.2500
Pd: 0.7500 0.7500 0.7500
Lu: 0.5000 0.5000 0.5000
Sc: 0.0000 0.0000 0.0000

Properties
- symmetry = No. 216

=====

7.
The following is a DFT calculation (PBE-GGA) of LuMgSiPd after structural relaxation.

Lattice parameters (Å, degrees): 4.7081 4.7081 4.7081 60.00 60.00 60.00
Fractional coordinates of all 4 atoms:
Si: 0.7500 0.7500 0.7500
Pd: 0.2500 0.2500 0.2500
Mg: 0.0000 0.0000 0.0000
Lu: 0.5000 0.5000 0.5000

Properties
- symmetry = No. 216
- E_form (uncorrected) (meV per atom) = -590

=====

8.
The following is a DFT calculation (PBE-GGA) of SmLuMgPd after structural relaxation.

Lattice parameters (Å, degrees): 5.1328 5.1328 5.1328 60.00 60.00 60.00
Fractional coordinates of all 4 atoms:
Pd: 0.0000 0.0000 0.0000
Sm: 0.7500 0.7500 0.7500
Lu: 0.2500 0.2500 0.2500
Mg: 0.5000 0.5000 0.5000

Properties
- symmetry = No. 216

=====

9.
The following is a DFT calculation (PBE-GGA) of TmLuMgPd after structural relaxation.

Lattice parameters (Å, degrees): 5.0474 5.0474 5.0474 60.00 60.00 60.00
Fractional coordinates of all 4 atoms:
Pd: 0.0000 0.0000 0.0000
Lu: 0.2500 0.2500 0.2500
Tm: 0.7500 0.7500 0.7500
Mg: 0.5000 0.5000 0.5000

Properties
- symmetry = No. 216

=====

10.
The following is a DFT calculation (PBE-GGA) of LuMgZnPd after structural relaxation.

Lattice parameters (Å, degrees): 4.7429 4.7429 4.7429 60.00 60.00 60.00
Fractional coordinates of all 4 atoms:
Mg: 0.2500 0.2500 0.2500
Zn: 0.0000 0.0000 0.0000
Pd: 0.5000 0.5000 0.5000
Lu: 0.7500 0.7500 0.7500

Properties
- symmetry = No. 216

=====

11.
The following is a DFT calculation (PBE-GGA) of LuMgZrPd after structural relaxation.

Lattice parameters (Å, degrees): 4.9359 4.9359 4.9359 60.00 60.00 60.00
Last column: magnetic moment on the atom in μB.
Fractional coordinates of all 4 atoms:
Lu: 0.2500 0.2500 0.2500  -0.07
Pd: 0.5000 0.5000 0.5000  -0.02
Zr: 0.7500 0.7500 0.7500  -0.16
Mg: 0.0000 0.0000 0.0000  0.00

Properties
- symmetry = No. 216

=====

12.
The following is a DFT calculation (PBE-GGA) of Pm2LuMg after structural relaxation.

Lattice parameters (Å, degrees): 3.6929 3.6929 8.9274 90.00 90.00 90.00
Fractional coordinates of all 4 atoms:
Lu: 0.5000 0.5000 0.5000
Pm: 0.0000 0.0000 0.7656
Mg: 0.5000 0.5000 0.0000
Pm: 0.0000 0.0000 0.2344

Properties
- E above lowest polymorph (meV/atom) = 0
- symmetry = No. 123

=====

13.
The following is a DFT calculation (PBE-GGA) of Pm2LuMg after structural relaxation.

Lattice parameters (Å, degrees): 3.4666 3.4666 12.5224 82.04 82.04 60.00
Fractional coordinates of all 4 atoms:
Lu: 0.5000 0.5000 0.5000
Pm: 0.0900 0.0900 0.7302
Pm: 0.9100 0.9100 0.2698
Mg: 0.0000 0.0000 0.0000

Properties
- E above lowest polymorph (meV/atom) = 201
- symmetry = No. 166

=====

14.
The following is a DFT calculation (PBE-GGA) of Pm2LuMg after structural relaxation.

Lattice parameters (Å, degrees): 5.5448 5.5448 5.5448 60.00 60.00 60.00
Fractional coordinates of all 4 atoms:
Lu: 0.0000 0.0000 0.0000
Pm: 0.7500 0.7500 0.7500
Mg: 0.5000 0.5000 0.5000
Pm: 0.2500 0.2500 0.2500

Properties
- E above lowest polymorph (meV/atom) = 28
- symmetry = No. 225

=====

15.
The following is a DFT calculation (PBE-GGA) of PmPrLuMg after structural relaxation.

Lattice parameters (Å, degrees): 5.5757 5.5757 5.5757 60.00 60.00 60.00
Fractional coordinates of all 4 atoms:
Lu: 0.5000 0.5000 0.5000
Pr: 0.7500 0.7500 0.7500
Pm: 0.2500 0.2500 0.2500
Mg: 0.0000 0.0000 0.0000

Properties
- symmetry = No. 216

=====

16.
The following is a DFT calculation (PBE-GGA) of PmLuMgPt after structural relaxation.

Lattice parameters (Å, degrees): 5.1008 5.1008 5.1008 60.00 60.00 60.00
Fractional coordinates of all 4 atoms:
Pm: 0.2500 0.2500 0.2500
Mg: 0.5000 0.5000 0.5000
Lu: 0.7500 0.7500 0.7500
Pt: 0.0000 0.0000 0.0000

Properties
- symmetry = No. 216

=====

17.
The following is a DFT calculation (PBE-GGA) of PmLuMgRu after structural relaxation.

Lattice parameters (Å, degrees): 5.0360 5.0360 5.0360 60.00 60.00 60.00
Fractional coordinates of all 4 atoms:
Mg: 0.2500 0.2500 0.2500
Lu: 0.0000 0.0000 0.0000
Ru: 0.7500 0.7500 0.7500
Pm: 0.5000 0.5000 0.5000

Properties
- symmetry = No. 216

=====

18.
The following is a DFT calculation (PBE-GGA) of TbPmLuMg after structural relaxation.

Lattice parameters (Å, degrees): 5.5078 5.5078 5.5078 60.00 60.00 60.00
Fractional coordinates of all 4 atoms:
Mg: 0.5000 0.5000 0.5000
Pm: 0.2500 0.2500 0.2500
Lu: 0.0000 0.0000 0.0000
Tb: 0.7500 0.7500 0.7500

Properties
- symmetry = No. 216

=====

19.
The following is a DFT calculation (PBE-GGA) of PmLuMgTc after structural relaxation.

Lattice parameters (Å, degrees): 5.0446 5.0446 5.0446 60.00 60.00 60.00
Fractional coordinates of all 4 atoms:
Lu: 0.0000 0.0000 0.0000
Mg: 0.2500 0.2500 0.2500
Pm: 0.5000 0.5000 0.5000
Tc: 0.7500 0.7500 0.7500

Properties
- symmetry = No. 216

=====

20.
The following is a DFT calculation (PBE-GGA) of PmLuThMg after structural relaxation.

Lattice parameters (Å, degrees): 5.5300 5.5300 5.5300 60.00 60.00 60.00
Fractional coordinates of all 4 atoms:
Lu: 0.5000 0.5000 0.5000
Mg: 0.0000 0.0000 0.0000
Th: 0.2500 0.2500 0.2500
Pm: 0.7500 0.7500 0.7500

Properties
- symmetry = No. 216

=====

Which electronic total energy belongs to each record? In order, -2.922; -4.396; -5.348; -5.497; -5.673; -4.818; -4.773; -4.395; -4.370; -3.696; -5.219; -3.927; -3.726; -3.898; -3.909; -4.801; -5.199; -3.859; -5.292; -4.488 eV/atom.